A) # GeOsBr2 (PBE, optimized geometry)
data_GeOsBr2
_cell_length_a 2.9725
_cell_length_b 2.9725
_cell_length_c 38.4703
_cell_angle_alpha 90.00
_cell_angle_beta 90.00
_cell_angle_gamma 120.00
_space_group_name_H-M_alt 'R -3 m'
_space_group_IT_number 166
_space_group_name_Hall '-R 3 2"'
loop_
_atom_site_label
_atom_site_type_symbol
_atom_site_fract_x
_atom_site_fract_y
_atom_site_fract_z
_atom_site_occupancy
Ge1 Ge 0.0000 0.0000 0.0000 1
Os1 Os 0.0000 0.0000 0.5000 1
Br1 Br 0.0000 0.0000 0.4382 1
# Volume, A^3/atom: 24.5
# Crystal system: trigonal
# Magnetization, μB per formula unit: 0.0
# DOS at the Fermi energy, states/eV/f.u.: 3.3

***

B) # GeOsBr2 (PBE, optimized geometry)
data_GeOsBr2
_cell_length_a 6.752
_cell_length_b 6.752
_cell_length_c 6.752
_cell_angle_alpha 90.00
_cell_angle_beta 90.00
_cell_angle_gamma 90.00
_space_group_name_H-M_alt 'F m -3 m'
_space_group_IT_number 225
_space_group_name_Hall '-F 4 2 3'
loop_
_atom_site_label
_atom_site_type_symbol
_atom_site_fract_x
_atom_site_fract_y
_atom_site_fract_z
_atom_site_occupancy
Ge1 Ge 0.000 0.000 0.000 1
Os1 Os 0.000 0.000 0.500 1
Br1 Br 0.250 0.250 0.250 1
# Volume, A^3/atom: 19.2
# Crystal system: cubic
# Magnetization, μB per formula unit: 0.0
# DOS at the Fermi energy, states/eV/f.u.: 5.6

***

The winner here is A), beating the second structure by 512 meV per atom.

***

A) # GeOsSe2Br (PBE, optimized geometry)
data_GeOsSe2Br
_cell_length_a 5.019
_cell_length_b 5.019
_cell_length_c 5.047
_cell_angle_alpha 90.00
_cell_angle_beta 90.00
_cell_angle_gamma 90.00
_space_group_name_H-M_alt 'P 4/m m m'
_space_group_IT_number 123
_space_group_name_Hall '-P 4 2'
loop_
_atom_site_label
_atom_site_type_symbol
_atom_site_fract_x
_atom_site_fract_y
_atom_site_fract_z
_atom_site_occupancy
Ge1 Ge 0.000 0.000 0.000 1
Os1 Os 0.500 0.500 0.500 1
Se1 Se 0.000 0.500 0.000 1
Br1 Br 0.000 0.000 0.500 1
# Volume, A^3/atom: 25.4
# Crystal system: tetragonal
# Magnetization, μB per formula unit: 4.2
# DOS at the Fermi energy, states/eV/f.u.: 4.6

***

B) # GeOsSe2Br (PBE, optimized geometry)
data_GeOsSe2Br
_cell_length_a 5.089
_cell_length_b 5.089
_cell_length_c 5.146
_cell_angle_alpha 90.00
_cell_angle_beta 90.00
_cell_angle_gamma 90.00
_space_group_name_H-M_alt 'P 4/m m m'
_space_group_IT_number 123
_space_group_name_Hall '-P 4 2'
loop_
_atom_site_label
_atom_site_type_symbol
_atom_site_fract_x
_atom_site_fract_y
_atom_site_fract_z
_atom_site_occupancy
Ge1 Ge 0.000 0.000 0.000 1
Os1 Os 0.500 0.500 0.000 1
Se1 Se 0.000 0.500 0.500 1
Br1 Br 0.000 0.000 0.500 1
# Volume, A^3/atom: 26.7
# Crystal system: tetragonal
# Magnetization, μB per formula unit: 2.9
# DOS at the Fermi energy, states/eV/f.u.: 6.0

***

The winner here is A), beating the second structure by 577 meV per atom.

***

A) # Ge2PBr (PBE, optimized geometry)
data_Ge2PBr
_cell_length_a 7.205
_cell_length_b 7.205
_cell_length_c 7.761
_cell_angle_alpha 90.00
_cell_angle_beta 90.00
_cell_angle_gamma 90.00
_space_group_name_H-M_alt 'I -4 2 d'
_space_group_IT_number 122
_space_group_name_Hall 'I -4 2bw'
loop_
_atom_site_label
_atom_site_type_symbol
_atom_site_fract_x
_atom_site_fract_y
_atom_site_fract_z
_atom_site_occupancy
Ge1 Ge 0.195 0.250 0.125 1
P1 P 0.000 0.000 0.000 1
Br1 Br 0.000 0.000 0.500 1
# Volume, A^3/atom: 25.2
# Crystal system: tetragonal
# Magnetization, μB per formula unit: 0.0
# DOS at the Fermi energy, states/eV/f.u.: 0.9

***

B) # Ge2PBr (PBE, optimized geometry)
data_Ge2PBr
_cell_length_a 6.885
_cell_length_b 6.885
_cell_length_c 6.885
_cell_angle_alpha 90.00
_cell_angle_beta 90.00
_cell_angle_gamma 90.00
_space_group_name_H-M_alt 'F m -3 m'
_space_group_IT_number 225
_space_group_name_Hall '-F 4 2 3'
loop_
_atom_site_label
_atom_site_type_symbol
_atom_site_fract_x
_atom_site_fract_y
_atom_site_fract_z
_atom_site_occupancy
Ge1 Ge 0.250 0.250 0.250 1
P1 P 0.000 0.000 0.000 1
Br1 Br 0.000 0.000 0.500 1
# Volume, A^3/atom: 20.4
# Crystal system: cubic
# Magnetization, μB per formula unit: 0.0
# DOS at the Fermi energy, states/eV/f.u.: 1.5

***

The winner here is A), beating the second structure by 211 meV per atom.